SrSb2Os | PBE-GGA | optimized geometry

abc: 4.6244 4.4734 12.4006
angles: 90.00 90.00 90.00
Fractional coordinates of all 8 atoms:
Sr 0.0000 0.0000 0.0000
Sr 0.0000 0.5000 0.5000
Sb 0.0000 0.0000 0.7058
Sb 0.0000 0.5000 0.2058
Sb 0.5000 0.0000 0.3983
Sb 0.5000 0.5000 0.8983
Os 0.5000 0.0000 0.7946
Os 0.5000 0.5000 0.2946

formation energy without anion corrections: -0.02 eV per atom
final energy: -5.31 eV/atom
space-group type: Amm2 (38)
offset from the most stable computed form: 0.227 eV per atom
density: 6.75 Mg/m³